(1)
Material: Sr3Ca12Al
Method: DFT, PBE-GGA
State: optimized geometry

abc: 5.557 5.557 21.454
angles: 90.00 90.00 90.00
Positions (direct):
Sr: 0.000 0.000 0.233
Sr: 0.000 0.000 0.500
Sr: 0.000 0.000 0.767
Ca: 0.500 0.500 0.000
Ca: 0.500 0.500 0.230
Ca: 0.500 0.500 0.500
Ca: 0.500 0.500 0.770
Ca: 0.500 0.000 0.098
Ca: 0.500 0.000 0.366
Ca: 0.500 0.000 0.634
Ca: 0.500 0.000 0.902
Ca: 0.000 0.500 0.098
Ca: 0.000 0.500 0.366
Ca: 0.000 0.500 0.634
Ca: 0.000 0.500 0.902
Al: 0.000 0.000 0.000

The final energy comes out at -2.0457 eV per atom. As for the space-group type: No. 123. As for the energy relative to the elements: 5 meV/atom. As for the calculated density: 1.93 g cm⁻³.

---

(2)
Material: SrCa7Al5
Method: DFT, PBE-GGA
State: optimized geometry

abc: 6.489 8.389 8.389
angles: 79.80 67.25 67.25
Positions (direct):
Sr: 0.051 0.949 0.949
Ca: 0.701 0.299 0.299
Ca: 0.362 0.638 0.638
Ca: 0.972 0.361 0.696
Ca: 0.972 0.696 0.361
Ca: 0.255 0.245 0.245
Ca: 0.505 0.798 0.192
Ca: 0.505 0.192 0.798
Al: 0.463 0.997 0.526
Al: 0.015 0.997 0.526
Al: 0.463 0.526 0.997
Al: 0.015 0.526 0.997
Al: 0.722 0.778 0.778

The final energy comes out at -2.7402 eV per atom. As for the space-group type: No. 44. As for the energy relative to the elements: -94 meV/atom. As for the calculated density: 2.15 g cm⁻³.

---

(3)
Material: Sr2CaAl
Method: DFT, PBE-GGA
State: optimized geometry

abc: 5.699 5.699 4.547
angles: 90.02 90.02 89.99
Positions (direct):
Sr: 0.000 0.000 0.000
Sr: 0.500 0.500 0.000
Ca: 0.000 0.500 0.500
Al: 0.500 0.000 0.500

The final energy comes out at -2.2599 eV per atom. As for the space-group type: No. 123. As for the energy relative to the elements: 17 meV/atom. As for the calculated density: 2.72 g cm⁻³.

---

(4)
Material: Sr2CaAl2
Method: DFT, PBE-GGA
State: optimized geometry

abc: 5.028 5.028 7.869
angles: 71.37 71.37 90.00
Positions (direct):
Sr: 0.750 0.250 0.500
Sr: 0.250 0.750 0.500
Ca: 0.000 0.000 0.000
Al: 0.410 0.410 0.180
Al: 0.590 0.590 0.820

The final energy comes out at -2.5174 eV per atom. As for the space-group type: No. 139. Its energy above the most stable polymorph in this dataset is 0.79 eV per formula unit. As for the energy relative to the elements: 53 meV/atom. As for the calculated density: 2.52 g cm⁻³.

---

(5)
Material: SrCaAl2
Method: DFT, PBE-GGA
State: optimized geometry

abc: 10.370 10.370 10.370
angles: 20.71 20.71 20.71
Positions (direct):
Sr: 0.750 0.750 0.750
Ca: 0.250 0.250 0.250
Al: 0.997 0.997 0.997
Al: 0.503 0.503 0.503

The final energy comes out at -2.6835 eV per atom. As for the space-group type: No. 166. As for the energy relative to the elements: 109 meV/atom. As for the calculated density: 2.47 g cm⁻³.

---

(6)
Material: SrCa2Al2
Method: DFT, PBE-GGA
State: optimized geometry

abc: 8.868 8.868 3.964
angles: 90.00 90.00 90.00
Positions (direct):
Sr: 0.000 0.000 0.000
Sr: 0.500 0.500 0.000
Ca: 0.178 0.678 0.500
Ca: 0.678 0.822 0.500
Ca: 0.822 0.322 0.500
Ca: 0.322 0.178 0.500
Al: 0.389 0.889 0.000
Al: 0.889 0.611 0.000
Al: 0.611 0.111 0.000
Al: 0.111 0.389 0.000

The final energy comes out at -2.7621 eV per atom. As for the space-group type: No. 127. Its energy above the most stable polymorph in this dataset is 0.02 eV per formula unit. As for the energy relative to the elements: -128 meV/atom. As for the calculated density: 2.36 g cm⁻³.